! RbPd2Pt | the Alexandria database | PBE | optimized geometry; values from VASP
! **Relative energy among the computed polymorphs**: 0 meV per atom
! **DOS(E_F)**: 4.20 states/eV/f.u.
&SYSTEM
  ibrav = 0, nat = 4, ntyp = 3
/
ATOMIC_SPECIES
Rb 85.47 Rb.upf
Pd 106.42 Pd.upf
Pt 195.08 Pt.upf
CELL_PARAMETERS angstrom
4.526 0.000 0.000
2.263 3.920 0.000
2.263 1.307 5.957
ATOMIC_POSITIONS angstrom
Rb 0.000 0.000 0.000
Pd 2.263 1.307 2.628
Pd 6.789 3.920 3.329
Pt 4.526 2.613 2.978